An optimized crystal structure of Rb2DyTh2Te6. Source: the Alexandria database, functional GGA-PBE.

Volume, Å³/f.u.: 461
Uncorrected formation energy, eV/atom: -1.26
Raw total energy, eV/cell: -54.14
Crystal system: monoclinic
Magnetization, μB/cell: 0.0

Structure (POSCAR):
```
Rb2DyTh2Te6
1.0
7.736 -0.021 0.066
-3.842 6.715 0.066
-1.388 -2.387 8.837
Dy Te Th Rb
1 6 2 2
direct
0.000 0.000 0.500 Dy
0.262 0.262 0.297 Te
0.398 0.071 0.704 Te
0.929 0.602 0.296 Te
0.602 0.929 0.296 Te
0.738 0.738 0.703 Te
0.071 0.398 0.704 Te
0.333 0.667 0.500 Th
0.667 0.333 0.500 Th
0.168 0.832 0.000 Rb
0.832 0.168 0.000 Rb
```

An optimized crystal structure of Rb3DyTh2Te6. Source: the Alexandria database, functional GGA-PBE.

Volume, Å³/f.u.: 461
Uncorrected formation energy, eV/atom: -1.23
Raw total energy, eV/cell: -55.93
Crystal system: monoclinic
Magnetization, μB/cell: 0.0

Structure (POSCAR):
```
Rb3DyTh2Te6
1.0
7.810 0.000 0.000
-3.903 6.765 0.000
-1.302 -2.255 8.717
Te Rb Dy Th
6 3 1 2
direct
0.931 0.603 0.793 Te
0.397 0.069 0.207 Te
0.259 0.259 0.792 Te
0.603 0.931 0.793 Te
0.741 0.741 0.208 Te
0.069 0.397 0.207 Te
0.500 0.500 0.500 Rb
0.168 0.832 0.500 Rb
0.832 0.168 0.500 Rb
0.000 0.000 0.000 Dy
0.334 0.666 0.000 Th
0.666 0.334 0.000 Th
```

An optimized crystal structure of Rb2DyThTe4. Source: the Alexandria database, functional GGA-PBE.

Volume, Å³/f.u.: 306
Uncorrected formation energy, eV/atom: -1.27
Raw total energy, eV/cell: -36.65
Crystal system: monoclinic
Magnetization, μB/cell: 0.0

Structure (POSCAR):
```
Rb2DyThTe4
1.0
4.507 0.000 0.000
0.000 7.838 0.151
0.000 -2.752 8.616
Te Rb Dy Th
4 2 1 1
direct
0.000 0.270 0.797 Te
0.500 0.241 0.207 Te
0.500 0.759 0.793 Te
0.000 0.730 0.203 Te
0.500 0.000 0.500 Rb
0.000 0.500 0.500 Rb
0.500 0.500 0.000 Dy
0.000 0.000 0.000 Th
```

An optimized crystal structure of Rb3Dy2ThTe6. Source: the Alexandria database, functional GGA-PBE.

Volume, Å³/f.u.: 458
Uncorrected formation energy, eV/atom: -1.30
Raw total energy, eV/cell: -54.03
Crystal system: monoclinic
Magnetization, μB/cell: 0.0

Structure (POSCAR):
```
Rb3Dy2ThTe6
1.0
7.825 -0.001 0.000
-3.912 6.777 0.000
-1.305 -2.260 8.627
Te Th Rb Dy
6 1 3 2
direct
0.932 0.595 0.797 Te
0.405 0.068 0.203 Te
0.595 0.932 0.797 Te
0.068 0.405 0.203 Te
0.730 0.730 0.203 Te
0.270 0.270 0.797 Te
0.000 0.000 0.000 Th
0.500 0.500 0.500 Rb
0.834 0.166 0.500 Rb
0.166 0.834 0.500 Rb
0.333 0.667 0.000 Dy
0.667 0.333 0.000 Dy
```